BaCoCl after structural relaxation, computed with PBE.

Results
As for the crystal system: cubic. For the magnetization, the calculation gives 2.00 Bohr magnetons per cell. The calculation puts the density of states at the Fermi level at 1.292 states/eV per cell. The uncorrected formation energy is -75 meV/atom. For the density, the calculation gives 3.87 g cm⁻³. The value obtained for the offset from the most stable computed form is 804 meV per atom.

Geometry as extended XYZ:
```
3
Lattice="0.000 3.678 3.678 3.678 0.000 3.678 3.678 3.678 0.000" Properties=species:S:1:pos:R:3 pbc="T T T"
Ba 0.000 0.000 0.000
Co 3.678 3.678 3.678
Cl 5.517 5.517 5.517
```



CaZrAgBr2 after structural relaxation, computed with PBE.

Results
As for the crystal system: tetragonal. For the magnetization, the calculation gives 2.95 Bohr magnetons per cell. The calculation puts the density of states at the Fermi level at 3.577 states/eV per cell. The uncorrected formation energy is 39 meV/atom. For the density, the calculation gives 3.89 g cm⁻³. The value obtained for the offset from the most stable computed form is 0 meV per atom.

Geometry as extended XYZ:
```
5
Lattice="5.357 0.000 0.000 0.000 5.357 0.000 0.000 0.000 5.935" Properties=species:S:1:pos:R:3 pbc="T T T"
Ca 0.000 0.000 0.000
Zr 2.679 2.679 2.968
Ag 0.000 0.000 2.968
Br 0.000 2.679 0.000
Br 2.679 0.000 0.000
```



MoPdAu after structural relaxation, computed with PBE.

Results
As for the crystal system: trigonal. For the magnetization, the calculation gives 0.00 Bohr magnetons per cell. The calculation puts the density of states at the Fermi level at 3.895 states/eV per cell. For the density, the calculation gives 13.59 g cm⁻³. The value obtained for the offset from the most stable computed form is 85 meV per atom.

Geometry as extended XYZ:
```
3
Lattice="2.828 0.000 0.000 -1.414 2.449 0.000 0.000 0.000 7.043" Properties=species:S:1:pos:R:3 pbc="T T T"
Mo 0.000 0.000 0.000
Pd 1.414 0.816 2.190
Au 0.000 1.633 4.637
```



HoTmMgNi after structural relaxation, computed with PBE.

Results
As for the crystal system: tetragonal. For the magnetization, the calculation gives 0.00 Bohr magnetons per cell. The calculation puts the density of states at the Fermi level at 2.271 states/eV per cell. For the density, the calculation gives 7.59 g cm⁻³. The value obtained for the offset from the most stable computed form is 0 meV per atom.

Geometry as extended XYZ:
```
4
Lattice="3.411 0.000 0.000 0.000 3.411 0.000 0.000 0.000 7.843" Properties=species:S:1:pos:R:3 pbc="T T T"
Ho 0.000 0.000 0.000
Tm 0.000 0.000 4.669
Mg 1.705 1.705 2.351
Ni 1.705 1.705 6.224
```



ThAl6Ni3 after structural relaxation, computed with PBE.

Results
As for the crystal system: monoclinic. For the magnetization, the calculation gives 0.00 Bohr magnetons per cell. The uncorrected energy comes out at -104.03 eV per cell. The calculation puts the density of states at the Fermi level at 9.559 states/eV per cell. For the density, the calculation gives 5.93 g cm⁻³.

Geometry as extended XYZ:
```
20
Lattice="7.524 0.000 0.000 0.000 4.049 0.000 -1.823 0.000 10.487" Properties=species:S:1:pos:R:3 pbc="T T T"
Th -0.043 1.012 2.398
Th 5.744 3.037 8.089
Al -0.268 1.012 5.985
Al 1.859 3.037 0.331
Al 0.960 1.012 9.066
Al 1.322 3.037 7.186
Al 2.438 3.037 2.881
Al 2.139 1.012 4.851
Al 3.561 3.037 5.636
Al 3.262 1.012 7.606
Al 4.379 1.012 3.302
Al 4.740 3.037 1.421
Al 3.841 1.012 10.156
Al 5.968 3.037 4.502
Ni -1.135 1.012 10.132
Ni 0.883 3.037 4.825
Ni 3.104 1.012 1.250
Ni 2.596 3.037 9.237
Ni 4.818 1.012 5.662
Ni 6.835 3.037 0.355
```



PrDyAl after structural relaxation, computed with PBE.

Results
As for the crystal system: tetragonal. For the magnetization, the calculation gives 0.00 Bohr magnetons per cell. The calculation puts the density of states at the Fermi level at 2.210 states/eV per cell. For the density, the calculation gives 6.47 g cm⁻³. The value obtained for the offset from the most stable computed form is 2 meV per atom.

Geometry as extended XYZ:
```
3
Lattice="-1.753 1.753 6.900 1.753 -1.753 6.900 1.753 1.753 -6.900" Properties=species:S:1:pos:R:3 pbc="T T T"
Pr 0.000 0.000 0.000
Dy 0.000 0.000 9.751
Al 0.000 0.000 4.771
```



magnetization of number 6 (PrDyAl)? 0.00 Bohr magnetons per cell



Look up the magnetization of the fourth one. 0.00 Bohr magnetons per cell



Which of these has the lowest density? BaCoCl



What is the magnetization in the third record? 0.00 Bohr magnetons per cell